--- w ---
# Ac2Cu

A relaxed structure of Ac2Cu (PBE, the Alexandria database).

Unit cell a=7.096 b=7.096 c=9.031 alpha=124.92 beta=124.92 gamma=33.77
Fractional positions:
Ac  0.089  0.089  0.385
Ac  0.334  0.334  0.926
Ac  0.666  0.666  0.074
Ac  0.911  0.911  0.615
Cu  0.386  0.386  0.332
Cu  0.614  0.614  0.668

=====

--- x ---
# Ac2Cu

A relaxed structure of Ac2Cu (PBE, the Alexandria database).

Unit cell a=7.301 b=7.301 c=7.301 alpha=149.43 beta=149.43 gamma=43.78
Fractional positions:
Ac  0.136  0.136  0.000
Ac  0.864  0.864  0.000
Cu  0.500  0.500  0.000

=====

Energies relative to the most stable structure are w 0.000; x 0.036, reported in eV/atom.

=====

--- w ---
# AcDyCu4

A relaxed structure of AcDyCu4 (PBE, the Alexandria database).

Unit cell a=5.818 b=5.818 c=5.818 alpha=137.87 beta=97.45 gamma=97.39
Fractional positions:
Ac  0.000  0.000  0.000
Dy  0.500  0.000  0.500
Cu  0.104  0.337  0.767
Cu  0.429  0.663  0.767
Cu  0.571  0.337  0.233
Cu  0.896  0.663  0.233

=====

--- x ---
# AcDyCu4

A relaxed structure of AcDyCu4 (PBE, the Alexandria database).

Unit cell a=5.429 b=5.429 c=5.429 alpha=60.00 beta=60.00 gamma=60.00
Fractional positions:
Ac  0.000  0.000  0.000
Dy  0.750  0.750  0.750
Cu  0.378  0.378  0.378
Cu  0.378  0.378  0.866
Cu  0.378  0.866  0.378
Cu  0.866  0.378  0.378

=====

Energies relative to the most stable structure are w 0.000; x 0.165, reported in eV/atom.

=====

--- w ---
# AcDyCu

A relaxed structure of AcDyCu (PBE, the Alexandria database).

Unit cell a=6.879 b=6.879 c=6.879 alpha=148.92 beta=148.92 gamma=44.52
Fractional positions:
Ac  0.000  0.000  0.000
Dy  0.276  0.276  0.000
Cu  0.668  0.668  0.000

=====

--- x ---
# AcDyCu

A relaxed structure of AcDyCu (PBE, the Alexandria database).

Unit cell a=6.830 b=5.260 c=9.561 alpha=90.00 beta=90.00 gamma=90.00
Fractional positions:
Ac  0.149  0.250  0.092
Ac  0.351  0.750  0.592
Ac  0.649  0.250  0.408
Ac  0.851  0.750  0.908
Dy  0.002  0.250  0.674
Dy  0.498  0.750  0.174
Dy  0.502  0.250  0.826
Dy  0.998  0.750  0.326
Cu  0.191  0.250  0.406
Cu  0.309  0.750  0.906
Cu  0.691  0.250  0.094
Cu  0.809  0.750  0.594

=====

--- y ---
# AcDyCu

A relaxed structure of AcDyCu (PBE, the Alexandria database).

Unit cell a=4.669 b=4.669 c=4.836 alpha=90.00 beta=90.00 gamma=120.00
Fractional positions:
Ac  0.000  0.000  0.000
Dy  0.667  0.333  0.500
Cu  0.333  0.667  0.500

=====

Energies relative to the most stable structure are w 0.000; x 0.007; y 0.114, reported in eV/atom.

=====

--- w ---
# AcErCu2

A relaxed structure of AcErCu2 (PBE, the Alexandria database).

Unit cell a=5.143 b=5.143 c=5.143 alpha=60.00 beta=60.00 gamma=60.00
Fractional positions:
Ac  0.000  0.000  0.000
Er  0.500  0.500  0.500
Cu  0.250  0.250  0.250
Cu  0.750  0.750  0.750

=====

--- x ---
# AcErCu2

A relaxed structure of AcErCu2 (PBE, the Alexandria database).

Unit cell a=3.605 b=3.605 c=7.245 alpha=90.00 beta=90.00 gamma=90.00
Fractional positions:
Ac  0.000  0.000  0.000
Er  0.000  0.000  0.500
Cu  0.500  0.500  0.295
Cu  0.500  0.500  0.705

=====

--- y ---
# AcErCu2

A relaxed structure of AcErCu2 (PBE, the Alexandria database).

Unit cell a=5.751 b=5.751 c=5.751 alpha=49.43 beta=49.43 gamma=49.43
Fractional positions:
Ac  0.000  0.000  0.000
Er  0.500  0.500  0.500
Cu  0.204  0.204  0.204
Cu  0.796  0.796  0.796

=====

Energies relative to the most stable structure are w 0.057; x 0.000; y 0.023, reported in eV/atom.

=====

--- w ---
# AcEr2Cu

A relaxed structure of AcEr2Cu (PBE, the Alexandria database).

Unit cell a=3.577 b=3.577 c=8.911 alpha=90.00 beta=90.00 gamma=90.00
Fractional positions:
Ac  0.000  0.000  0.000
Er  0.500  0.500  0.318
Er  0.500  0.500  0.682
Cu  0.000  0.000  0.500

=====

--- x ---
# AcEr2Cu

A relaxed structure of AcEr2Cu (PBE, the Alexandria database).

Unit cell a=11.086 b=11.086 c=11.086 alpha=19.00 beta=19.00 gamma=19.00
Fractional positions:
Ac  0.000  0.000  0.000
Er  0.110  0.110  0.110
Er  0.890  0.890  0.890
Cu  0.500  0.500  0.500

=====

Energies relative to the most stable structure are w 0.000; x 0.266, reported in eV/atom.

=====

--- w ---
# Ac2CuF

A relaxed structure of Ac2CuF (PBE, the Alexandria database).

Unit cell a=8.419 b=8.419 c=8.419 alpha=31.75 beta=31.75 gamma=31.75
Fractional positions:
Ac  0.101  0.101  0.101
Ac  0.899  0.899  0.899
Cu  0.500  0.500  0.500
F  0.000  0.000  0.000

=====

--- x ---
# Ac2CuF

A relaxed structure of Ac2CuF (PBE, the Alexandria database).

Unit cell a=3.624 b=3.624 c=7.741 alpha=90.00 beta=90.00 gamma=90.00
Fractional positions:
Ac  0.000  0.000  0.243
Ac  0.000  0.000  0.757
Cu  0.500  0.500  0.000
F  0.500  0.500  0.500

=====

Energies relative to the most stable structure are w 0.000; x 0.282, reported in eV/atom.

=====

--- w ---
# Ac3Ga8Cu3

A relaxed structure of Ac3Ga8Cu3 (PBE, the Alexandria database).

Unit cell a=8.566 b=8.566 c=9.715 alpha=124.26 beta=124.26 gamma=30.85
Fractional positions:
Ac  0.000  0.000  0.000
Ac  0.304  0.304  0.308
Ac  0.696  0.696  0.692
Ga  0.145  0.145  0.865
Ga  0.150  0.150  0.422
Ga  0.344  0.344  0.968
Ga  0.496  0.496  0.701
Ga  0.504  0.504  0.299
Ga  0.656  0.656  0.032
Ga  0.850  0.850  0.578
Ga  0.855  0.855  0.135
Cu  0.000  0.000  0.500
Cu  0.343  0.343  0.702
Cu  0.657  0.657  0.298

=====

--- x ---
# Ac3Ga8Cu3

A relaxed structure of Ac3Ga8Cu3 (PBE, the Alexandria database).

Unit cell a=8.515 b=8.515 c=8.515 alpha=148.98 beta=109.74 gamma=78.77
Fractional positions:
Ac  0.000  0.000  0.000
Ac  0.309  0.309  0.000
Ac  0.691  0.691  0.000
Ga  0.020  0.659  0.361
Ga  0.154  0.868  0.285
Ga  0.298  0.659  0.639
Ga  0.417  0.132  0.285
Ga  0.583  0.868  0.715
Ga  0.702  0.341  0.361
Ga  0.846  0.132  0.715
Ga  0.980  0.341  0.639
Cu  0.289  0.500  0.789
Cu  0.500  0.000  0.500
Cu  0.711  0.500  0.211

=====

Energies relative to the most stable structure are w 0.014; x 0.000, reported in eV/atom.

=====

--- w ---
# AcGa2Cu

A relaxed structure of AcGa2Cu (PBE, the Alexandria database).

Unit cell a=6.251 b=6.251 c=6.251 alpha=39.94 beta=39.94 gamma=39.94
Fractional positions:
Ac  0.000  0.000  0.000
Ga  0.208  0.208  0.208
Ga  0.792  0.792  0.792
Cu  0.500  0.500  0.500

=====

--- x ---
# AcGa2Cu

A relaxed structure of AcGa2Cu (PBE, the Alexandria database).

Unit cell a=3.471 b=3.471 c=7.179 alpha=90.00 beta=90.00 gamma=90.00
Fractional positions:
Ac  0.000  0.000  0.000
Ga  0.500  0.500  0.319
Ga  0.500  0.500  0.681
Cu  0.000  0.000  0.500

=====

Energies relative to the most stable structure are w 0.000; x 0.285, reported in eV/atom.

=====

--- w ---
# AcGa2Cu

A relaxed structure of AcGa2Cu (PBE, the Alexandria database).

Unit cell a=6.784 b=5.928 c=5.928 alpha=47.26 beta=90.00 gamma=90.00
Fractional positions:
Ac  0.000  0.000  0.000
Ac  0.500  0.207  0.207
Ga  0.000  0.300  0.300
Ga  0.307  0.497  0.497
Ga  0.500  0.902  0.902
Ga  0.693  0.497  0.497
Cu  0.181  0.720  0.720
Cu  0.819  0.720  0.720

=====

--- x ---
# AcGa2Cu

A relaxed structure of AcGa2Cu (PBE, the Alexandria database).

Unit cell a=6.331 b=6.331 c=7.025 alpha=90.00 beta=90.00 gamma=141.50
Fractional positions:
Ac  0.057  0.943  0.750
Ac  0.943  0.057  0.250
Ga  0.333  0.667  0.559
Ga  0.333  0.667  0.941
Ga  0.667  0.333  0.059
Ga  0.667  0.333  0.441
Cu  0.219  0.781  0.250
Cu  0.781  0.219  0.750

=====

Energies relative to the most stable structure are w 0.037; x 0.000, reported in eV/atom.

=====

--- w ---
# Ac2GaCu2

A relaxed structure of Ac2GaCu2 (PBE, the Alexandria database).

Unit cell a=7.868 b=7.868 c=4.150 alpha=90.00 beta=90.00 gamma=90.00
Fractional positions:
Ac  0.186  0.314  0.000
Ac  0.314  0.814  0.000
Ac  0.686  0.186  0.000
Ac  0.814  0.686  0.000
Ga  0.000  0.000  0.500
Ga  0.500  0.500  0.500
Cu  0.113  0.613  0.500
Cu  0.387  0.113  0.500
Cu  0.613  0.887  0.500
Cu  0.887  0.387  0.500

=====

--- x ---
# Ac2GaCu2

A relaxed structure of Ac2GaCu2 (PBE, the Alexandria database).

Unit cell a=6.074 b=6.074 c=11.371 alpha=116.68 beta=116.68 gamma=43.83
Fractional positions:
Ac  0.025  0.025  0.343
Ac  0.198  0.198  0.109
Ac  0.802  0.802  0.891
Ac  0.975  0.975  0.657
Ga  0.268  0.268  0.651
Ga  0.732  0.732  0.349
Cu  0.359  0.359  0.434
Cu  0.498  0.498  0.885
Cu  0.502  0.502  0.115
Cu  0.641  0.641  0.566

=====

Energies relative to the most stable structure are w 0.017; x 0.000, reported in eV/atom.

=====

--- w ---
# AcGaCu

A relaxed structure of AcGaCu (PBE, the Alexandria database).

Unit cell a=6.258 b=6.258 c=6.258 alpha=139.23 beta=103.19 gamma=90.83
Fractional positions:
Ac  0.235  0.235  0.000
Ac  0.765  0.765  0.000
Ga  0.339  0.000  0.339
Ga  0.661  0.000  0.661
Cu  0.169  0.500  0.669
Cu  0.831  0.500  0.331

=====

--- x ---
# AcGaCu

A relaxed structure of AcGaCu (PBE, the Alexandria database).

Unit cell a=4.350 b=4.350 c=4.350 alpha=75.76 beta=75.76 gamma=75.76
Fractional positions:
Ac  0.000  0.000  0.000
Ga  0.609  0.609  0.609
Cu  0.346  0.346  0.346

=====

Energies relative to the most stable structure are w 0.000; x 0.187, reported in eV/atom.

=====

--- w ---
# AcGaCu

A relaxed structure of AcGaCu (PBE, the Alexandria database).

Unit cell a=4.496 b=4.496 c=4.218 alpha=90.00 beta=90.00 gamma=120.00
Fractional positions:
Ac  0.000  0.000  0.000
Ga  0.667  0.333  0.500
Cu  0.333  0.667  0.500

=====

--- x ---
# AcGaCu

A relaxed structure of AcGaCu (PBE, the Alexandria database).

Unit cell a=6.132 b=6.132 c=6.132 alpha=146.49 beta=146.49 gamma=48.12
Fractional positions:
Ac  0.000  0.000  0.000
Ga  0.294  0.294  0.000
Cu  0.695  0.695  0.000

=====

--- y ---
# AcGaCu

A relaxed structure of AcGaCu (PBE, the Alexandria database).

Unit cell a=4.806 b=4.806 c=4.806 alpha=60.00 beta=60.00 gamma=60.00
Fractional positions:
Ac  0.000  0.000  0.000
Ga  0.500  0.500  0.500
Cu  0.250  0.250  0.250

=====

Energies relative to the most stable structure are w 0.000; x 0.272; y 0.162, reported in eV/atom.